A plane-wave DFT calculation with PBE was carried out for a relaxed Ac3SbPd9Au2 crystal.

abc: 5.753 5.753 12.724
angles: 90.00 90.00 120.00
Sites, in units of the cell vectors:
Ac 0.000 0.000 0.000
Ac 0.333 0.667 0.759
Ac 0.667 0.333 0.241
Sb 0.000 0.000 0.500
Pd 0.000 0.500 0.000
Pd 0.172 0.343 0.346
Pd 0.172 0.828 0.346
Pd 0.343 0.172 0.654
Pd 0.500 0.000 0.000
Pd 0.500 0.500 0.000
Pd 0.657 0.828 0.346
Pd 0.828 0.172 0.654
Pd 0.828 0.657 0.654
Au 0.333 0.667 0.171
Au 0.667 0.333 0.829

Summary:
* DOS(E_F): 6.84 states/eV/cell
* DFT total energy: -5.196 eV per atom
* ΔE_f (raw): -0.547 eV per atom
* crystal system: trigonal

---

A plane-wave DFT calculation with PBE was carried out for a relaxed VGaReNi crystal.

abc: 5.993 5.993 5.993
angles: 90.00 90.00 90.00
Sites, in units of the cell vectors:
V 0.000 0.000 0.000
V 0.000 0.500 0.500
V 0.500 0.000 0.500
V 0.500 0.500 0.000
Ga 0.000 0.000 0.500
Ga 0.000 0.500 0.000
Ga 0.500 0.000 0.000
Ga 0.500 0.500 0.500
Re 0.250 0.250 0.250
Re 0.250 0.750 0.750
Re 0.750 0.250 0.750
Re 0.750 0.750 0.250
Ni 0.250 0.250 0.750
Ni 0.250 0.750 0.250
Ni 0.750 0.250 0.250
Ni 0.750 0.750 0.750

Summary:
* DOS(E_F): 14.31 states/eV/cell
* DFT total energy: -7.712 eV per atom
* formation energy: -0.12 eV per atom
* crystal system: cubic

---

A plane-wave DFT calculation with PBE was carried out for a relaxed KLi2Os2O7 crystal.

abc: 9.527 9.527 9.527
angles: 156.66 156.66 33.25
Sites, in units of the cell vectors:
K 0.000 0.000 0.000
Li 0.250 0.750 0.500
Li 0.750 0.250 0.500
Os 0.389 0.389 0.000
Os 0.611 0.611 0.000
O 0.110 0.610 0.500
O 0.284 0.284 0.000
O 0.390 0.890 0.500
O 0.500 0.500 0.000
O 0.610 0.110 0.500
O 0.716 0.716 0.000
O 0.890 0.390 0.500

Summary:
* DOS(E_F): 5.60 states/eV/cell
* DFT total energy: -6.539 eV per atom
* ΔE_f (raw): -1.365 eV per atom
* crystal system: tetragonal

---

A plane-wave DFT calculation with PBE was carried out for a relaxed FeCo4P crystal.

abc: 4.672 4.672 4.672
angles: 60.00 60.00 60.00
Sites, in units of the cell vectors:
Fe 0.000 0.000 0.000
Co 0.375 0.375 0.375
Co 0.375 0.375 0.875
Co 0.375 0.875 0.375
Co 0.875 0.375 0.375
P 0.750 0.750 0.750

Summary:
* DOS(E_F): 7.26 states/eV/cell
* DFT total energy: -6.757 eV per atom
* formation energy: 0.29 eV per atom
* crystal system: cubic

---

A plane-wave DFT calculation with PBE was carried out for a relaxed Sm6Dy3Th2 crystal.

abc: 32.337 32.337 32.337
angles: 6.38 6.38 6.38
Sites, in units of the cell vectors:
Sm 0.091 0.091 0.091
Sm 0.183 0.183 0.183
Sm 0.364 0.364 0.364
Sm 0.636 0.636 0.636
Sm 0.817 0.817 0.817
Sm 0.909 0.909 0.909
Dy 0.000 0.000 0.000
Dy 0.273 0.273 0.273
Dy 0.727 0.727 0.727
Th 0.454 0.454 0.454
Th 0.546 0.546 0.546

Summary:
* DOS(E_F): 16.18 states/eV/cell
* DFT total energy: -5.154 eV per atom
* formation energy: 0.02 eV per atom
* crystal system: trigonal

---

A plane-wave DFT calculation with PBE was carried out for a relaxed La2FeBiH crystal.

abc: 4.712 4.712 4.861
angles: 90.00 90.00 90.00
Sites, in units of the cell vectors:
La 0.000 0.500 0.000
La 0.500 0.000 0.000
Fe 0.000 0.000 0.500
Bi 0.500 0.500 0.500
H 0.500 0.500 0.000

Summary:
* DOS(E_F): 7.30 states/eV/cell
* DFT total energy: -4.974 eV per atom
* crystal system: tetragonal

---

A plane-wave DFT calculation with PBE was carried out for a relaxed Ac2La4Pm5 crystal.

abc: 9.894 9.894 11.233
angles: 93.50 93.50 21.89
Sites, in units of the cell vectors:
Ac 0.093 0.093 0.453
Ac 0.907 0.907 0.547
La 0.183 0.183 0.911
La 0.453 0.453 0.265
La 0.547 0.547 0.735
La 0.817 0.817 0.089
Pm 0.000 0.000 0.000
Pm 0.271 0.271 0.360
Pm 0.364 0.364 0.825
Pm 0.636 0.636 0.175
Pm 0.729 0.729 0.640

Summary:
* DOS(E_F): 20.57 states/eV/cell
* DFT total energy: -4.673 eV per atom
* formation energy: 0.03 eV per atom
* crystal system: monoclinic

---

A plane-wave DFT calculation with PBE was carried out for a relaxed ZnSiHg2 crystal.

abc: 4.283 4.291 9.266
angles: 90.00 90.00 90.00
Sites, in units of the cell vectors:
Zn 0.000 0.000 0.000
Zn 0.500 0.500 0.000
Si 0.000 0.500 0.830
Si 0.500 0.000 0.830
Hg 0.000 0.000 0.558
Hg 0.000 0.500 0.244
Hg 0.500 0.000 0.244
Hg 0.500 0.500 0.558

Summary:
* DOS(E_F): 3.68 states/eV/cell
* relative energy among the computed polymorphs: 72.3 meV per atom
* DFT total energy: -1.515 eV per atom
* ΔE_f (raw): 0.310 eV per atom
* crystal system: orthorhombic